Entry from Alexandria via LeMat-Bulk: crystalline FeGeBi2Pt at its relaxed geometry (PBE-GGA).

ΔE_f	0.62	eV/atom
SG	P4/mmm, No. 123

Geometry as CIF:
```
data_FeGeBi2Pt
_cell_length_a 5.047
_cell_length_b 5.047
_cell_length_c 4.831
_cell_angle_alpha 90.00
_cell_angle_beta 90.00
_cell_angle_gamma 90.00
_symmetry_space_group_name_H-M 'P 1'
_symmetry_Int_Tables_number 1
loop_
_symmetry_equiv_pos_as_xyz
'x,y,z'
loop_
_atom_site_label
_atom_site_type_symbol
_atom_site_fract_x
_atom_site_fract_y
_atom_site_fract_z
_atom_site_occupancy
Fe1 Fe 0.000 0.000 0.000 1
Ge1 Ge 0.500 0.500 0.500 1
Bi1 Bi 0.000 0.500 0.000 1
Bi2 Bi 0.500 0.000 0.000 1
Pt1 Pt 0.000 0.000 0.500 1
```


Entry from Alexandria via LeMat-Bulk: crystalline FeGe2BiTe at its relaxed geometry (PBE-GGA).

uncorrected formation energy	119	meV per atom
SG	P4/mmm, No. 123

Geometry as CIF:
```
data_FeGe2BiTe
_cell_length_a 4.596
_cell_length_b 4.596
_cell_length_c 5.403
_cell_angle_alpha 90.00
_cell_angle_beta 90.00
_cell_angle_gamma 90.00
_symmetry_space_group_name_H-M 'P 1'
_symmetry_Int_Tables_number 1
loop_
_symmetry_equiv_pos_as_xyz
'x,y,z'
loop_
_atom_site_label
_atom_site_type_symbol
_atom_site_fract_x
_atom_site_fract_y
_atom_site_fract_z
_atom_site_occupancy
Fe1 Fe 0.000 0.000 0.000 1
Ge1 Ge 0.000 0.500 0.000 1
Ge2 Ge 0.500 0.000 0.000 1
Bi1 Bi 0.000 0.000 0.500 1
Te1 Te 0.500 0.500 0.500 1
```


Entry from Alexandria via LeMat-Bulk: crystalline ZrFeGeBi2 at its relaxed geometry (PBE-GGA).

ΔE_f	0.93	eV/atom
SG	P4/mmm, No. 123

Geometry as CIF:
```
data_ZrFeGeBi2
_cell_length_a 5.671
_cell_length_b 5.671
_cell_length_c 4.711
_cell_angle_alpha 90.00
_cell_angle_beta 90.00
_cell_angle_gamma 90.00
_symmetry_space_group_name_H-M 'P 1'
_symmetry_Int_Tables_number 1
loop_
_symmetry_equiv_pos_as_xyz
'x,y,z'
loop_
_atom_site_label
_atom_site_type_symbol
_atom_site_fract_x
_atom_site_fract_y
_atom_site_fract_z
_atom_site_occupancy
Zr1 Zr 0.000 0.000 0.000 1
Fe1 Fe 0.000 0.000 0.500 1
Ge1 Ge 0.500 0.500 0.500 1
Bi1 Bi 0.000 0.500 0.000 1
Bi2 Bi 0.500 0.000 0.000 1
```


Entry from Alexandria via LeMat-Bulk: crystalline FeBiH at its relaxed geometry (PBE-GGA).

SG	P-1, No. 2
polymorph energy (0 for the lowest one)	0.0	meV/atom

Geometry as CIF:
```
data_FeBiH
_cell_length_a 3.389
_cell_length_b 4.572
_cell_length_c 6.914
_cell_angle_alpha 101.52
_cell_angle_beta 90.07
_cell_angle_gamma 111.69
_symmetry_space_group_name_H-M 'P 1'
_symmetry_Int_Tables_number 1
loop_
_symmetry_equiv_pos_as_xyz
'x,y,z'
loop_
_atom_site_label
_atom_site_type_symbol
_atom_site_fract_x
_atom_site_fract_y
_atom_site_fract_z
_atom_site_occupancy
Fe1 Fe 0.136 0.272 0.443 1
Fe2 Fe 0.864 0.728 0.557 1
Bi1 Bi 0.386 0.771 0.232 1
Bi2 Bi 0.614 0.229 0.768 1
H1 H 0.108 0.219 0.207 1
H2 H 0.892 0.781 0.793 1
```


Entry from Alexandria via LeMat-Bulk: crystalline Fe2BiH2 at its relaxed geometry (PBE-GGA).

SG	I4/mmm, No. 139
energy	-26.29	eV for the cell shown

Geometry as CIF:
```
data_Fe2BiH2
_cell_length_a 6.045
_cell_length_b 6.045
_cell_length_c 6.045
_cell_angle_alpha 148.95
_cell_angle_beta 148.95
_cell_angle_gamma 44.48
_symmetry_space_group_name_H-M 'P 1'
_symmetry_Int_Tables_number 1
loop_
_symmetry_equiv_pos_as_xyz
'x,y,z'
loop_
_atom_site_label
_atom_site_type_symbol
_atom_site_fract_x
_atom_site_fract_y
_atom_site_fract_z
_atom_site_occupancy
Fe1 Fe 0.190 0.190 0.000 1
Fe2 Fe 0.810 0.810 0.000 1
Bi1 Bi 0.500 0.500 0.000 1
H1 H 0.250 0.750 0.500 1
H2 H 0.750 0.250 0.500 1
```


Entry from Alexandria via LeMat-Bulk: crystalline FeBiH at its relaxed geometry (PBE-GGA).

SG	P4/nmm, No. 129
polymorph energy (0 for the lowest one)	318.0	meV/atom

Geometry as CIF:
```
data_FeBiH
_cell_length_a 3.390
_cell_length_b 3.390
_cell_length_c 8.025
_cell_angle_alpha 90.00
_cell_angle_beta 90.00
_cell_angle_gamma 90.00
_symmetry_space_group_name_H-M 'P 1'
_symmetry_Int_Tables_number 1
loop_
_symmetry_equiv_pos_as_xyz
'x,y,z'
loop_
_atom_site_label
_atom_site_type_symbol
_atom_site_fract_x
_atom_site_fract_y
_atom_site_fract_z
_atom_site_occupancy
Fe1 Fe 0.250 0.750 0.000 1
Fe2 Fe 0.750 0.250 0.000 1
Bi1 Bi 0.250 0.250 0.288 1
Bi2 Bi 0.750 0.750 0.712 1
H1 H 0.250 0.250 0.607 1
H2 H 0.750 0.750 0.393 1
```